Entry 1:
## SiTcPb2 (PBEsol)

Data for SiTcPb2 after structural relaxation.

Geometry as extended XYZ:
```
4
Lattice="4.527 0.000 0.000 0.000 4.527 0.000 -2.263 -2.263 3.956" Properties=species:S:1:pos:R:3 pbc="T T T"
Pb 2.263 0.000 1.978
Pb 0.000 2.263 1.978
Si 2.263 2.263 0.000
Tc 0.000 0.000 0.000
```

Results
The total energy is -21.59 eV/cell.

---

Entry 2:
## SiTe2Pb (PBEsol)

Data for SiTe2Pb after structural relaxation.

Geometry as extended XYZ:
```
4
Lattice="-3.016 1.858 -1.461 -2.091 -3.433 -0.048 -1.268 3.147 6.621" Properties=species:S:1:pos:R:3 pbc="T T T"
Pb -2.142 2.502 2.580
Si -2.553 -0.788 -0.754
Te -2.269 0.274 5.034
Te -1.090 -0.560 1.539
```

Results
The energy above the most stable polymorph in this dataset comes out at 3.0 kJ/mol of atoms.

---

Entry 3:
## SiTe2Pb (PBEsol)

Data for SiTe2Pb after structural relaxation.

Geometry as extended XYZ:
```
4
Lattice="-2.242 -2.093 -2.205 3.013 -2.895 -0.316 -2.908 -0.900 7.049" Properties=species:S:1:pos:R:3 pbc="T T T"
Pb -3.028 -2.339 5.301
Si -0.055 -4.550 1.140
Te 1.985 -2.611 0.460
Te -0.549 -2.677 3.101
```

Results
The energy above the most stable polymorph in this dataset comes out at 0.0 kJ/mol of atoms.

---

Entry 4:
## Si2TePb (PBEsol)

Data for Si2TePb after structural relaxation.

Geometry as extended XYZ:
```
4
Lattice="3.966 0.000 0.000 1.983 3.435 0.000 1.983 1.145 6.820" Properties=species:S:1:pos:R:3 pbc="T T T"
Pb 0.000 0.000 0.000
Si 1.983 1.145 1.727
Si 5.949 3.435 5.093
Te 3.966 2.290 3.410
```

Results
The energy above the most stable polymorph in this dataset comes out at 14.1 kJ/mol of atoms.

---

Entry 5:
## Si2TePb (PBEsol)

Data for Si2TePb after structural relaxation.

Geometry as extended XYZ:
```
4
Lattice="3.628 0.000 0.000 1.814 5.388 0.016 1.814 1.546 5.165" Properties=species:S:1:pos:R:3 pbc="T T T"
Pb 1.814 0.000 0.000
Si 3.628 5.552 3.173
Si 3.628 1.382 2.008
Te 1.814 3.467 2.590
```

Results
The energy above the most stable polymorph in this dataset comes out at 13.1 kJ/mol of atoms.

---

Entry 6:
## Si2TePb (PBEsol)

Data for Si2TePb after structural relaxation.

Geometry as extended XYZ:
```
4
Lattice="3.801 0.000 0.000 0.000 4.431 -0.003 0.000 -1.505 5.771" Properties=species:S:1:pos:R:3 pbc="T T T"
Pb 1.901 -0.290 4.470
Si 0.000 0.011 0.660
Si 1.901 3.017 0.854
Te 0.000 1.650 2.668
```

Results
The energy above the most stable polymorph in this dataset comes out at 0.0 kJ/mol of atoms.

---

Entry 7:
## Si2TePb (PBEsol)

Data for Si2TePb after structural relaxation.

Geometry as extended XYZ:
```
4
Lattice="-0.631 -0.682 -3.731 4.715 -1.832 -0.463 -2.881 -4.247 1.264" Properties=species:S:1:pos:R:3 pbc="T T T"
Pb 2.042 -1.257 -2.097
Si 0.283 -1.137 0.160
Si 1.551 -4.942 0.641
Te -1.756 -2.465 -1.233
```

Results
The energy above the most stable polymorph in this dataset comes out at 11.0 kJ/mol of atoms.

---

Entry 8:
## TiSiPb3 (PBEsol)

Data for TiSiPb3 after structural relaxation.

Geometry as extended XYZ:
```
5
Lattice="-1.593 0.216 -5.047 -3.639 -3.720 0.990 -3.504 3.765 1.267" Properties=species:S:1:pos:R:3 pbc="T T T"
Pb -1.820 -1.860 0.495
Pb -1.752 1.883 0.633
Pb -0.796 0.108 -2.524
Si -4.368 0.130 -1.396
Ti 0.000 0.000 0.000
```

Results
The total energy is -22.42 eV/cell.

---

Entry 9:
## Ti3SiPb (PBEsol)

Data for Ti3SiPb after structural relaxation.

Geometry as extended XYZ:
```
5
Lattice="-1.225 4.434 -0.065 -2.083 -0.635 -4.053 -3.915 -1.050 2.177" Properties=species:S:1:pos:R:3 pbc="T T T"
Pb -3.612 1.374 -0.971
Si 0.000 0.000 0.000
Ti -1.041 -0.318 -2.026
Ti -1.957 -0.525 1.088
Ti -0.613 2.217 -0.033
```

Results
The total energy is -34.32 eV/cell.

---

Entry 10:
## SiPb2W (PBEsol)

Data for SiPb2W after structural relaxation.

Geometry as extended XYZ:
```
4
Lattice="-2.849 -0.019 -2.308 -2.080 -3.673 2.597 0.385 4.820 2.398" Properties=species:S:1:pos:R:3 pbc="T T T"
Pb -3.553 -0.289 1.476
Pb -0.990 1.417 1.211
Si -1.424 -0.009 -1.154
W -1.040 -1.837 1.298
```

Results
The total energy is -23.50 eV/cell.

---

Entry 11:
## Si2PbW (PBEsol)

Data for Si2PbW after structural relaxation.

Geometry as extended XYZ:
```
4
Lattice="-1.532 1.766 2.419 -3.475 -2.730 -0.208 1.958 -2.739 3.240" Properties=species:S:1:pos:R:3 pbc="T T T"
Pb -0.759 -2.734 1.516
Si 0.000 0.000 0.000
Si 0.213 -0.486 2.829
W -2.504 -0.482 1.106
```

Results
The total energy is -25.66 eV/cell.

---

Entry 12:
## SiPb2W (PBEsol)

Data for SiPb2W after structural relaxation.

Geometry as extended XYZ:
```
4
Lattice="3.243 0.000 0.050 0.000 3.243 0.000 -0.127 0.000 8.369" Properties=species:S:1:pos:R:3 pbc="T T T"
Pb 3.122 0.000 7.922
Pb 1.584 1.622 2.605
Si -0.072 0.000 4.741
W 1.534 1.622 5.754
```

Results
The total energy is -26.33 eV/cell.